1.
Here is a geometry-optimized TcIr2Cl structure from Alexandria via LeMat-Bulk. Energies are from GGA-PBEsol.

Computed properties:
Crystal system: orthorhombic
Formation energy (no corrections), eV/atom: 0.554
Spin magnetization, μB per atom: 0.06
DFT total energy, eV per atom: -7.677
Energy above the most stable polymorph in this dataset, meV per atom: 0

POSCAR file:
```
TcIr2Cl
1.0
2.718 0.000 0.000
-1.359 2.418 0.000
0.000 0.000 9.034
Ir Cl Tc
2 1 1
Cartesian
0.000 0.000 6.723
0.000 0.000 2.311
1.359 0.000 0.000
1.359 0.000 4.517
```

***

2.
Here is a geometry-optimized TeIrCl2 structure from Alexandria via LeMat-Bulk. Energies are from GGA-PBEsol.

Computed properties:
Crystal system: orthorhombic
Formation energy (no corrections), eV/atom: 0.102
Spin magnetization, μB per atom: 0.26
DFT total energy, eV per atom: -4.240
Energy above the most stable polymorph in this dataset, meV per atom: 0

POSCAR file:
```
TeIrCl2
1.0
3.682 0.000 0.000
0.000 5.255 0.000
-1.841 -2.627 5.673
Cl Ir Te
2 1 1
Cartesian
1.841 0.000 3.788
0.000 0.000 0.776
0.000 0.000 5.387
0.000 2.627 1.394
```

***

3.
Here is a geometry-optimized TeIrCl3 structure from Alexandria via LeMat-Bulk. Energies are from GGA-PBEsol.

Computed properties:
Crystal system: cubic
Formation energy (no corrections), eV/atom: 1.175
Spin magnetization, μB per atom: 0.65
DFT total energy, eV per atom: -2.699

POSCAR file:
```
TeIrCl3
1.0
5.267 0.000 0.000
0.000 5.267 0.000
0.000 0.000 5.267
Cl Ir Te
3 1 1
Cartesian
2.633 0.000 0.000
0.000 2.633 0.000
0.000 0.000 2.633
2.633 2.633 2.633
0.000 0.000 0.000
```

***

4.
Here is a geometry-optimized TeIrCl structure from Alexandria via LeMat-Bulk. Energies are from GGA-PBEsol.

Computed properties:
Crystal system: trigonal
Formation energy (no corrections), eV/atom: -0.261
Spin magnetization, μB per atom: 0.00
DFT total energy, eV per atom: -5.381

POSCAR file:
```
TeIrCl
1.0
-3.704 0.518 -0.115
1.716 -0.514 3.285
0.795 5.794 0.492
Ir Te Cl
1 1 1
Cartesian
0.438 3.687 2.479
-1.553 2.688 1.232
0.715 5.217 0.443
```

***

5.
Here is a geometry-optimized Te7IrCl7 structure from Alexandria via LeMat-Bulk. Energies are from GGA-PBEsol.

Computed properties:
Crystal system: triclinic
Formation energy (no corrections), eV/atom: -0.444
Spin magnetization, μB per atom: 0.00
DFT total energy, eV per atom: -3.681

POSCAR file:
```
Te7IrCl7
1.0
-4.486 2.619 7.487
5.232 -1.796 8.351
4.294 9.637 4.039
Te Cl Ir
14 14 2
Cartesian
0.387 8.167 12.554
1.408 1.847 2.691
5.946 8.216 12.150
4.654 2.292 7.322
2.139 2.924 12.387
1.768 11.344 13.995
3.633 8.613 17.186
-1.995 4.841 7.582
3.272 -0.885 5.881
-0.905 2.243 7.727
4.251 -0.826 9.531
0.789 11.285 10.345
7.036 5.618 12.294
2.901 7.535 7.490
3.009 5.127 13.117
4.099 9.685 8.619
3.413 2.449 9.355
2.032 5.332 6.759
-0.823 3.666 4.852
4.856 6.245 8.422
2.304 1.774 6.376
0.184 4.214 11.454
2.737 8.685 13.501
2.968 4.818 3.513
5.864 6.793 15.025
2.073 5.642 16.364
1.627 8.011 10.522
0.942 0.775 11.258
0.963 2.426 14.694
4.078 8.033 5.182
```

***

6.
Here is a geometry-optimized TeIrCl2 structure from Alexandria via LeMat-Bulk. Energies are from GGA-PBEsol.

Computed properties:
Crystal system: trigonal
Formation energy (no corrections), eV/atom: 0.258
Spin magnetization, μB per atom: 0.00
DFT total energy, eV per atom: -4.084
Energy above the most stable polymorph in this dataset, meV per atom: 156

POSCAR file:
```
TeIrCl2
1.0
3.466 0.000 0.000
1.733 3.002 0.000
1.733 1.001 8.495
Ir Cl Te
1 2 1
Cartesian
3.466 2.001 4.247
1.733 1.001 2.948
5.200 3.002 5.547
0.000 0.000 0.000
```